Record 1
Entry from Alexandria via LeMat-Bulk: KYBi2C after structural relaxation (PBE).

Values from the calculation:
Energy of formation, kJ/mol of formula units: 334
Magnetic moment, μB/f.u.: 0.33
Density of states at the Fermi level, states/eV per atom: 0.6962
V, Å³/atom: 34.48

Unit cell a=6.0444 b=6.0444 c=4.7186 alpha=90.00 beta=90.00 gamma=90.00
Last column: nearest neighbours and their distance in Å.
Space group P4/mmm (No. 123)
Symmetry-distinct sites (fractional):
1 K 0.0000 0.0000 0.0000 [1 per cell]  8 Bi 3.83, 4 C 4.27
2 Y 0.5000 0.5000 0.5000 [1 per cell]  2 C 2.36
3 Bi 0.0000 0.5000 0.5000 [2 per cell]  2 Y 3.02
4 C 0.5000 0.5000 0.0000 [1 per cell]  2 Y 2.36

=====

Record 2
Entry from Alexandria via LeMat-Bulk: K2CdFe after structural relaxation (PBE).

Values from the calculation:
Energy of formation, kJ/mol of formula units: 289
Magnetic moment, μB/f.u.: 2.95
Density of states at the Fermi level, states/eV per atom: 0.7546
V, Å³/atom: 33.44

Unit cell a=5.0932 b=5.1055 c=10.2880 alpha=90.00 beta=90.00 gamma=90.00
Last column: nearest neighbours and their distance in Å.
Space group Immm (No. 71)
Symmetry-distinct sites (fractional):
1 K 0.0000 0.0000 0.2496 [4 per cell]  4 K 3.61, 4 Fe 3.62-3.63, 4 Cd 3.62
2 Cd 0.0000 0.5000 0.0000 [2 per cell]  4 Fe 3.61, 8 K 3.62
3 Fe 0.0000 0.5000 0.5000 [2 per cell]  4 Cd 3.61, 8 K 3.62-3.63

=====

Record 3
Entry from Alexandria via LeMat-Bulk: CuRe2SbRh after structural relaxation (PBE).

Values from the calculation:
Energy relative to the elements, uncorrected, kJ/mol of formula units: 792
Magnetic moment, μB/f.u.: 0.95
Density of states at the Fermi level, states/eV per atom: 1.2902
V, Å³/atom: 20.14

Unit cell a=4.6886 b=4.6886 c=4.5807 alpha=90.00 beta=90.00 gamma=90.00
Last column: nearest neighbours and their distance in Å.
Space group P4/mmm (No. 123)
Symmetry-distinct sites (fractional):
1 Cu 0.0000 0.0000 0.0000 [1 per cell]  2 Rh 2.29
2 Re 0.0000 0.5000 0.5000 [2 per cell]  2 Rh 2.34
3 Sb 0.5000 0.5000 0.0000 [1 per cell]  8 Re 3.28, 4 Cu 3.32
4 Rh 0.0000 0.0000 0.5000 [1 per cell]  2 Cu 2.29, 4 Re 2.34

=====

Record 4
Entry from Alexandria via LeMat-Bulk: ErAsPdAu after structural relaxation (PBE).

Values from the calculation:
Energy of formation, kJ/mol of formula units: -263
Magnetic moment, μB/f.u.: 0.00
Density of states at the Fermi level, states/eV per atom: 0.8259
V, Å³/atom: 19.20

Unit cell a=6.7479 b=6.7479 c=6.7479 alpha=90.00 beta=90.00 gamma=90.00
Last column: nearest neighbours and their distance in Å.
Space group F-43m (No. 216)
Symmetry-distinct sites (fractional):
1 Er 0.0000 0.0000 0.0000 [4 per cell]  4 As 2.92, 4 Au 2.92
2 As 0.2500 0.2500 0.7500 [4 per cell]  4 Er 2.92, 4 Pd 2.92
3 Pd 0.0000 0.0000 0.5000 [4 per cell]  4 As 2.92, 4 Au 2.92
4 Au 0.2500 0.2500 0.2500 [4 per cell]  4 Er 2.92, 4 Pd 2.92

=====

Record 5
Entry from Alexandria via LeMat-Bulk: TbScCdIn after structural relaxation (PBE).

Values from the calculation:
Energy of formation, kJ/mol of formula units: -149
Magnetic moment, μB/f.u.: 0.00
Density of states at the Fermi level, states/eV per atom: 1.0527
V, Å³/atom: 24.51

Unit cell a=7.3195 b=7.3195 c=7.3195 alpha=90.00 beta=90.00 gamma=90.00
Last column: nearest neighbours and their distance in Å.
Space group F-43m (No. 216)
Symmetry-distinct sites (fractional):
1 Tb 0.0000 0.0000 0.0000 [4 per cell]  4 Cd 3.17, 4 In 3.17
2 Sc 0.0000 0.0000 0.5000 [4 per cell]  4 Cd 3.17, 4 In 3.17
3 Cd 0.2500 0.2500 0.7500 [4 per cell]  4 Tb 3.17, 4 Sc 3.17
4 In 0.2500 0.2500 0.2500 [4 per cell]  4 Tb 3.17, 4 Sc 3.17

=====

Record 6
Entry from Alexandria via LeMat-Bulk: Pr2Ga2Ni3 after structural relaxation (PBE).

Values from the calculation:
Energy of formation, kJ/mol of formula units: -281
Magnetic moment, μB/f.u.: 0.00
Density of states at the Fermi level, states/eV per atom: 0.9537
V, Å³/atom: 18.58

Unit cell a=10.8794 b=3.8785 c=6.7873 alpha=90.00 beta=114.75 gamma=90.00
Last column: nearest neighbours and their distance in Å.
Space group C2/m (No. 12)
Symmetry-distinct sites (fractional):
1 Pr 0.1298 0.0000 0.2663 [4 per cell]  6 Ni 2.94-3.19, 4 Ga 3.03-3.21
2 Ga 0.1542 0.0000 0.7539 [4 per cell]  5 Ni 2.44-2.67
3 Ni 0.0000 0.5000 0.5000 [2 per cell]  2 Ni 2.63, 4 Ga 2.67
4 Ni 0.1042 0.5000 0.9266 [4 per cell]  3 Ga 2.44-2.62, 1 Ni 2.63

=====

Record 7
Entry from Alexandria via LeMat-Bulk: CaAsH5O6 after structural relaxation (PBE).

Values from the calculation:
VASP energy, eV/atom: -5.567
Magnetic moment, μB/f.u.: 0.00
Density of states at the Fermi level, states/eV per atom: 0.0000
V, Å³/atom: 10.31

Unit cell a=6.7004 b=15.4349 c=6.0602 alpha=90.00 beta=121.15 gamma=90.00
Last column: nearest neighbours and their distance in Å.
Space group Cc (No. 9)
Symmetry-distinct sites (fractional):
1 Ca 0.0000 0.1715 0.0000 [4 per cell]  6 O 2.36-2.51
2 As 0.4796 0.1757 0.9845 [4 per cell]  4 O 1.70-1.79
3 H 0.0962 0.4327 0.1125 [4 per cell]  1 O 0.98
4 H 0.2393 0.0852 0.5198 [4 per cell]  1 O 1.00
5 H 0.2531 0.0095 0.3493 [4 per cell]  1 O 1.00
6 H 0.2600 0.4902 0.7739 [4 per cell]  1 O 0.99
7 H 0.2900 0.3327 0.9029 [4 per cell]  1 O 1.02
8 O 0.0949 0.2768 0.3219 [4 per cell]  1 As 1.70
9 O 0.2275 0.3746 0.7512 [4 per cell]  1 H 1.02
10 O 0.2518 0.0740 0.3647 [4 per cell]  2 H 1.00
11 O 0.2528 0.4460 0.2597 [4 per cell]  2 H 0.98-0.99
12 O 0.2658 0.1010 0.8226 [4 per cell]  1 As 1.70, 2 H 1.72-1.77
13 O 0.3667 0.2503 0.1029 [4 per cell]  1 H 1.65, 1 As 1.72

=====

Record 8
Entry from Alexandria via LeMat-Bulk: Hg3AuN after structural relaxation (PBE).

Values from the calculation:
Energy relative to the elements, uncorrected, kJ/mol of formula units: 386
Magnetic moment, μB/f.u.: 0.00
Density of states at the Fermi level, states/eV per atom: 0.3270
V, Å³/atom: 21.19

Unit cell a=4.7316 b=4.7316 c=4.7316 alpha=90.00 beta=90.00 gamma=90.00
Last column: nearest neighbours and their distance in Å.
Space group Pm-3m (No. 221)
Symmetry-distinct sites (fractional):
1 Hg 0.0000 0.0000 0.5000 [3 per cell]  2 N 2.37
2 Au 0.5000 0.5000 0.5000 [1 per cell]  12 Hg 3.35
3 N 0.0000 0.0000 0.0000 [1 per cell]  6 Hg 2.37

=====

Record 9
Entry from Alexandria via LeMat-Bulk: Sc2AlCo after structural relaxation (PBE).

Values from the calculation:
Energy of formation, kJ/mol of formula units: -128
Magnetic moment, μB/f.u.: 0.00
Density of states at the Fermi level, states/eV per atom: 0.7674
V, Å³/atom: 17.62

Unit cell a=3.0679 b=4.6788 c=9.8221 alpha=90.00 beta=90.00 gamma=90.00
Last column: nearest neighbours and their distance in Å.
Space group Imm2 (No. 44)
Symmetry-distinct sites (fractional):
1 Sc 0.0000 0.0000 0.0000 [2 per cell]  2 Co 2.61
2 Sc 0.0000 0.5000 0.2012 [2 per cell]  4 Co 2.80, 4 Sc 3.06-3.07, 2 Al 3.11
3 Al 0.0000 0.0000 0.4105 [2 per cell]  2 Co 2.46
4 Co 0.0000 0.5000 0.7152 [2 per cell]  2 Al 2.46, 2 Sc 2.61

=====

Record 10
Entry from Alexandria via LeMat-Bulk: NdPH after structural relaxation (PBE).

Values from the calculation:
VASP energy, eV/atom: -5.071
Magnetic moment, μB/f.u.: 0.00
Density of states at the Fermi level, states/eV per atom: 0.5450
V, Å³/atom: 18.92

Unit cell a=4.0143 b=4.0143 c=7.0444 alpha=90.00 beta=90.00 gamma=90.00
Last column: nearest neighbours and their distance in Å.
Space group I4mm (No. 107)
Symmetry-distinct sites (fractional):
1 Nd 0.0000 0.0000 0.0000 [2 per cell]  1 H 2.64, 5 P 2.85-2.92
2 P 0.0000 0.0000 0.4047 [2 per cell]  1 H 1.55
3 H 0.0000 0.0000 0.6254 [2 per cell]  1 P 1.55

=====

Record 11
Entry from Alexandria via LeMat-Bulk: KSe5 after structural relaxation (PBE).

Values from the calculation:
Energy relative to the elements, uncorrected, kJ/mol of formula units: 135
Magnetic moment, μB/f.u.: 0.00
Density of states at the Fermi level, states/eV per atom: 0.7033
V, Å³/atom: 23.21

Unit cell a=3.4945 b=3.4945 c=11.4032 alpha=90.00 beta=90.00 gamma=90.00
Last column: nearest neighbours and their distance in Å.
Space group P4/mmm (No. 123)
Symmetry-distinct sites (fractional):
1 K 0.0000 0.0000 0.0000 [1 per cell]  8 Se 3.41, 4 K 3.49
2 Se 0.0000 0.0000 0.3590 [2 per cell]  9 Se 2.95-3.22
3 Se 0.5000 0.5000 0.2058 [2 per cell]  5 Se 3.03-3.35
4 Se 0.5000 0.5000 0.5000 [1 per cell]  8 Se 2.95